#1
First-principles (meta-GGA SCAN) data for a crystal of SrTlCo2 relaxed with PBEsol, as listed in Alexandria.

a = 3.448 Å, b = 4.516 Å, c = 4.516 Å
α = 90.02°, β = 90.01°, γ = 90.01°
Each line ends with the local moment (μB).
Fractional coordinates of all 4 atoms:
Tl  0.500  0.000  0.000  -0.06
Sr  0.500  0.500  0.500  -0.12
Co  0.000  0.500  0.000  1.64
Co  0.000  0.000  0.500  1.64

Computed properties:
Space-group type: P4/mmm

#2
First-principles (meta-GGA SCAN) data for a crystal of SrTlCo2 relaxed with PBEsol, as listed in Alexandria.

a = 3.495 Å, b = 3.495 Å, c = 6.562 Å
α = 90.00°, β = 90.00°, γ = 90.00°
Each line ends with the local moment (μB).
Fractional coordinates of all 4 atoms:
Co  0.000  0.000  0.672  1.52
Co  0.000  0.000  0.328  1.52
Tl  0.500  0.500  0.500  -0.05
Sr  0.500  0.500  0.000  -0.06

Computed properties:
Space-group type: P4/mmm

In terms of stability, #2 leads; the second structure lies 12.3 kJ/mol of atoms higher.